Here is a relaxed structure of Ba6TeAs2Cl3 from Alexandria via LeMat-Bulk. Energies are from PBE.

Calculated values
DOS(E_F) ... 3.56 states/eV per cell
E ... -0.1541 hartree per atom
Spin magnetization ... 0.00 μB/f.u.
Raw formation energy ... -20.8 eV/f.u.

a = 4.783 Å, b = 9.452 Å, c = 10.555 Å
α = 101.14°, β = 103.10°, γ = 90.00°
Sites, in units of the cell vectors:
Ba: 0.330 0.896 0.660
Ba: 0.672 0.573 0.344
Ba: 0.670 0.104 0.340
Ba: 0.007 0.260 0.014
Ba: 0.993 0.740 0.986
Ba: 0.328 0.427 0.656
Te: 0.500 0.000 0.000
As: 0.834 0.666 0.668
As: 0.166 0.334 0.332
Cl: 0.500 0.500 0.000
Cl: 0.834 0.165 0.669
Cl: 0.166 0.835 0.331